# DyZr2NpP4

A geometry-optimized DyZr2NpP4 structure (PBE, Alexandria). Values from VASP.

```
&SYSTEM
  ibrav = 0, nat = 8, ntyp = 4
/
ATOMIC_SPECIES
P 30.97 P.upf
Np 237.00 Np.upf
Zr 91.22 Zr.upf
Dy 162.50 Dy.upf
ATOMIC_POSITIONS angstrom
P 1.774 -5.780 -0.382
Np 0.000 0.000 0.000
Zr 1.428 -3.465 0.941
P 0.288 -2.436 -1.267
Dy 2.775 -1.573 -2.140
P 3.886 -2.737 0.124
P -1.030 -4.193 1.759
Zr -2.141 -3.178 -0.450
CELL_PARAMETERS angstrom
-0.794 -1.287 -3.531
6.344 -1.860 -0.749
-3.489 -5.070 2.631
```

Summary:
* energy: -8.363 eV per atom